1.
{"formula": "DyTiInAg", "functional": "PBE", "state": "relaxed", "lattice": [[0.000, 3.536, 3.536], [3.536, 0.000, 3.536], [3.536, 3.536, 0.000]], "species": ["Dy", "Ti", "In", "Ag"], "frac_coords": [[0.000, 0.000, 0.000], [0.500, 0.500, 0.500], [0.250, 0.250, 0.250], [0.750, 0.750, 0.750]], "ef_ev_per_atom": -0.1353}

***

2.
{"formula": "Dy4TlInAg2", "functional": "PBE", "state": "relaxed", "lattice": [[2.629, 1.518, 8.583], [-2.629, 1.518, 8.583], [0.000, -3.036, 8.583]], "species": ["Dy", "Dy", "Dy", "Dy", "Tl", "In", "Ag", "Ag"], "frac_coords": [[0.125, 0.125, 0.125], [0.375, 0.375, 0.375], [0.625, 0.625, 0.625], [0.875, 0.875, 0.875], [0.000, 0.000, 0.000], [0.500, 0.500, 0.500], [0.248, 0.248, 0.248], [0.752, 0.752, 0.752]], "ef_ev_per_atom": -0.3698}

***

3.
{"formula": "Dy4Tl2InAg", "functional": "PBE", "state": "relaxed", "lattice": [[2.648, 1.529, 8.694], [-2.648, 1.529, 8.694], [0.000, -3.058, 8.694]], "species": ["Dy", "Dy", "Dy", "Dy", "Tl", "Tl", "In", "Ag"], "frac_coords": [[0.123, 0.123, 0.123], [0.373, 0.373, 0.373], [0.627, 0.627, 0.627], [0.877, 0.877, 0.877], [0.252, 0.252, 0.252], [0.748, 0.748, 0.748], [0.500, 0.500, 0.500], [0.000, 0.000, 0.000]], "ef_ev_per_atom": -0.3557}